Entry 1:
The following is a DFT calculation (PBE) of an optimized crystal structure of Dy12Cu5Tc3.

Its space-group type is Ia-3d (230). Its calculated formation energy is 27.1 kJ per mole of atoms.

Cell lengths 14.194, 14.194, 14.194 Å; angles 109.47, 109.47, 109.47 degrees
Atoms (fractional coordinates):
Tc: 0.250 0.125 0.375
Tc: 0.750 0.875 0.625
Tc: 0.375 0.625 0.250
Tc: 0.375 0.750 0.625
Tc: 0.250 0.625 0.875
Tc: 0.125 0.875 0.750
Tc: 0.875 0.125 0.250
Tc: 0.625 0.250 0.375
Tc: 0.875 0.750 0.125
Tc: 0.625 0.375 0.750
Tc: 0.125 0.250 0.875
Tc: 0.750 0.375 0.125
Cu: 0.500 0.500 0.500
Cu: 0.125 0.750 0.375
Cu: 0.250 0.875 0.125
Cu: 0.375 0.125 0.750
Cu: 0.500 0.500 0.000
Cu: 0.750 0.625 0.375
Cu: 0.875 0.250 0.625
Cu: 0.625 0.875 0.250
Cu: 0.500 0.000 0.500
Cu: 0.000 0.000 0.500
Cu: 0.000 0.500 0.000
Cu: 0.750 0.125 0.875
Cu: 0.875 0.625 0.750
Cu: 0.000 0.500 0.500
Cu: 0.250 0.375 0.625
Cu: 0.375 0.250 0.125
Cu: 0.000 0.000 0.000
Cu: 0.125 0.375 0.250
Cu: 0.625 0.750 0.875
Cu: 0.500 0.000 0.000
Dy: 0.775 0.447 0.369
Dy: 0.421 0.053 0.328
Dy: 0.725 0.594 0.172
Dy: 0.631 0.053 0.225
Dy: 0.921 0.828 0.553
Dy: 0.053 0.631 0.725
Dy: 0.631 0.579 0.906
Dy: 0.421 0.369 0.594
Dy: 0.094 0.921 0.369
Dy: 0.131 0.406 0.079
Dy: 0.053 0.421 0.828
Dy: 0.828 0.921 0.053
Dy: 0.225 0.553 0.631
Dy: 0.869 0.275 0.447
Dy: 0.328 0.553 0.421
Dy: 0.906 0.079 0.631
Dy: 0.579 0.947 0.672
Dy: 0.553 0.225 0.131
Dy: 0.447 0.775 0.869
Dy: 0.172 0.094 0.725
Dy: 0.406 0.131 0.579
Dy: 0.828 0.906 0.275
Dy: 0.094 0.172 0.225
Dy: 0.275 0.869 0.947
Dy: 0.553 0.328 0.921
Dy: 0.672 0.447 0.579
Dy: 0.131 0.725 0.553
Dy: 0.406 0.275 0.328
Dy: 0.947 0.369 0.275
Dy: 0.869 0.594 0.921
Dy: 0.369 0.421 0.094
Dy: 0.079 0.172 0.447
Dy: 0.921 0.094 0.869
Dy: 0.672 0.225 0.594
Dy: 0.775 0.328 0.906
Dy: 0.225 0.672 0.094
Dy: 0.172 0.079 0.947
Dy: 0.906 0.828 0.775
Dy: 0.579 0.631 0.406
Dy: 0.594 0.725 0.672
Dy: 0.328 0.775 0.406
Dy: 0.079 0.906 0.131
Dy: 0.447 0.672 0.079
Dy: 0.275 0.406 0.828
Dy: 0.594 0.869 0.421
Dy: 0.369 0.947 0.775
Dy: 0.725 0.131 0.053
Dy: 0.947 0.579 0.172



Entry 2:
The following is a DFT calculation (PBE) of an optimized crystal structure of Si2Ge2Ru.

For the uncorrected formation energy, the calculation gives 42.4 kJ/mol of atoms. Its space-group type is P4/mbm (127). As for the energy above the lowest structure with this stoichiometry: 118 meV/atom.

Cell lengths 6.435, 6.435, 4.009 Å; angles 90.00, 90.00, 90.00 degrees
Atoms (fractional coordinates):
Ge: 0.140 0.360 0.000
Ge: 0.360 0.860 0.000
Ge: 0.860 0.640 0.000
Ge: 0.640 0.140 0.000
Si: 0.674 0.826 0.500
Si: 0.826 0.326 0.500
Si: 0.174 0.674 0.500
Si: 0.326 0.174 0.500
Ru: 0.500 0.500 0.000
Ru: 0.000 0.000 0.000



Entry 3:
The following is a DFT calculation (PBE) of an optimized crystal structure of CsKTl10.

Its space-group type is Pmmm (47). Its calculated formation energy is -2.0 kJ per mole of atoms.

Cell lengths 5.537, 6.725, 11.707 Å; angles 90.00, 90.00, 90.00 degrees
Atoms (fractional coordinates):
Tl: 0.500 0.751 0.753
Tl: 0.000 0.000 0.677
Tl: 0.500 0.500 0.000
Tl: 0.500 0.249 0.753
Tl: 0.500 0.751 0.247
Tl: 0.000 0.500 0.842
Tl: 0.000 0.500 0.158
Tl: 0.500 0.000 0.500
Tl: 0.000 0.000 0.323
Tl: 0.500 0.249 0.247
K: 0.000 0.000 0.000
Cs: 0.000 0.500 0.500



What did we get for mass density? Answer: 7.73, 6.05, 8.44 Mg/m³, in the order shown.